A plane-wave DFT calculation with PBE-GGA was carried out for a relaxed structure of PaSbRhN.

Calculated values
The formation energy without anion corrections comes out at -1.09 eV/atom.

POSCAR file:
```
PaSbRhN
1.0
-0.4266 -2.8556 2.9083
1.0672 -2.9004 -2.6913
8.2794 1.0044 2.2006
Pa Sb Rh N
2 2 2 2
Direct
0.0000 0.5000 0.8712 Pa
0.5000 0.0000 0.1288 Pa
0.5000 0.0000 0.6855 Sb
0.0000 0.5000 0.3145 Sb
0.0000 0.0000 0.5000 Rh
0.5000 0.5000 0.5000 Rh
0.5000 0.5000 0.0000 N
0.0000 0.0000 0.0000 N
```

***

A plane-wave DFT calculation with PBE-GGA was carried out for a relaxed structure of MnAlP2.

Calculated values
The value obtained for the uncorrected energy is -6.033 eV per atom.

POSCAR file:
```
MnAlP2
1.0
-0.4925 1.6590 -2.2170
-2.5840 0.5339 0.9736
2.3350 5.1794 3.3569
P Mn Al
2 1 1
Direct
0.0000 0.0000 0.9566 P
0.0000 0.0000 0.5434 P
0.5000 0.5000 0.7500 Mn
0.5000 0.5000 0.2500 Al
```

***

A plane-wave DFT calculation with PBE-GGA was carried out for a relaxed structure of CsZrSnIr2.

Calculated values
The value obtained for the uncorrected energy is -3.947 eV per atom.

POSCAR file:
```
CsZrSnIr2
1.0
5.0076 0.0000 0.0000
0.0000 5.2459 0.0000
0.0000 0.0000 5.0076
Cs Ir Sn Zr
1 2 1 1
Direct
0.0000 0.0000 0.0000 Cs
0.0000 0.0000 0.5000 Ir
0.5000 0.0000 0.0000 Ir
0.5000 0.5000 0.5000 Sn
0.0000 0.5000 0.0000 Zr
```

***

A plane-wave DFT calculation with PBE-GGA was carried out for a relaxed structure of Zr2MnRu.

Calculated values
The value obtained for the uncorrected energy is -8.872 eV per atom.

POSCAR file:
```
Zr2MnRu
1.0
-0.6606 2.2261 -2.1329
-3.5969 0.9592 2.1151
2.7092 3.6376 2.9575
Mn Ru Zr
1 1 2
Direct
0.0000 0.0000 0.4604 Mn
0.5000 0.5000 0.7895 Ru
0.0000 0.0000 0.9506 Zr
0.5000 0.5000 0.2996 Zr
```

***

A plane-wave DFT calculation with PBE-GGA was carried out for a relaxed structure of NbMoS4.

Calculated values
The formation energy without anion corrections comes out at -0.79 eV/atom. For the distance to the lowest polymorph of the same formula, the calculation gives 0.147 eV/atom.

POSCAR file:
```
NbMoS4
1.0
-0.7205 -0.4302 3.1829
6.2242 -2.9712 -0.6986
1.7215 5.3169 1.1085
Nb Mo S
1 1 4
Direct
0.9999 0.0000 0.0000 Nb
0.5000 0.0000 0.5000 Mo
0.8829 0.7663 0.6199 S
0.1171 0.2337 0.3801 S
0.3812 0.7628 0.1286 S
0.6188 0.2371 0.8714 S
```

***

A plane-wave DFT calculation with PBE-GGA was carried out for a relaxed structure of Hf2FeTe2.

Calculated values
The formation energy without anion corrections comes out at -0.02 eV/atom. For the distance to the lowest polymorph of the same formula, the calculation gives 0.000 eV/atom.

POSCAR file:
```
Hf2FeTe2
1.0
-3.8384 -5.9578 2.8721
1.0740 -3.8382 -6.5264
3.2396 -1.4259 1.3717
Te Hf Fe
4 4 2
Direct
0.1531 0.6531 0.5000 Te
0.6531 0.8469 0.5000 Te
0.8469 0.3469 0.5000 Te
0.3469 0.1531 0.5000 Te
0.3533 0.8533 0.0000 Hf
0.8533 0.6467 0.0000 Hf
0.6467 0.1467 0.0000 Hf
0.1467 0.3533 0.0000 Hf
0.0000 0.0000 0.0000 Fe
0.5000 0.5000 0.0000 Fe
```

***

A plane-wave DFT calculation with PBE-GGA was carried out for a relaxed structure of Ta2CoHg.

Calculated values
The value obtained for the uncorrected energy is -7.552 eV per atom.

POSCAR file:
```
Ta2CoHg
1.0
-0.8310 2.0680 3.2865
0.7133 -2.3047 1.6307
6.0600 0.0362 1.5094
Co Hg Ta
1 1 2
Direct
0.5000 0.2500 0.2500 Co
0.5000 0.7500 0.7500 Hg
0.0000 0.0207 0.0289 Ta
0.0000 0.4793 0.4711 Ta
```

***

A plane-wave DFT calculation with PBE-GGA was carried out for a relaxed structure of CaReRh2.

Calculated values
For the distance to the lowest polymorph of the same formula, the calculation gives 0.553 eV/atom.

POSCAR file:
```
CaReRh2
1.0
-2.9384 -0.8193 3.3409
0.0457 -3.9943 2.1238
1.4541 -0.2722 4.2753
Re Ca Rh
1 1 2
Direct
0.7500 0.7500 0.7500 Re
0.5000 0.5000 0.5000 Ca
0.0000 0.0000 0.0000 Rh
0.2500 0.2500 0.2500 Rh
```

***

A plane-wave DFT calculation with PBE-GGA was carried out for a relaxed structure of YAgBr6.

Calculated values
The formation energy without anion corrections comes out at -0.91 eV/atom.

POSCAR file:
```
YAgBr6
1.0
-0.9450 8.4320 1.8417
-4.5804 7.7665 -2.7837
-5.8337 2.6169 3.5339
Y Ag Br
1 1 6
Direct
0.5000 0.5000 0.5000 Y
0.0000 0.0000 0.0000 Ag
0.1069 0.5356 0.6715 Br
0.7208 0.0856 0.8549 Br
0.6003 0.2380 0.2959 Br
0.2792 0.9144 0.1451 Br
0.8931 0.4644 0.3285 Br
0.3997 0.7620 0.7041 Br
```

***

A plane-wave DFT calculation with PBE-GGA was carried out for a relaxed structure of CoTc2Rh.

Calculated values
For the distance to the lowest polymorph of the same formula, the calculation gives 0.000 eV/atom.

POSCAR file:
```
CoTc2Rh
1.0
4.2603 0.0000 0.0000
0.0000 2.6695 0.0000
0.0000 0.0000 4.7033
Co Rh Tc
1 1 2
Direct
0.0000 0.6252 0.4567 Co
0.5000 0.6249 0.7803 Rh
0.0000 0.1249 0.9671 Tc
0.5000 0.1251 0.2959 Tc
```

***

A plane-wave DFT calculation with PBE-GGA was carried out for a relaxed structure of MoSe2I.

Calculated values
The formation energy without anion corrections comes out at 0.81 eV/atom. For the distance to the lowest polymorph of the same formula, the calculation gives 1.164 eV/atom.

POSCAR file:
```
MoSe2I
1.0
0.0000 3.4283 3.4283
3.4283 0.0000 3.4283
3.4283 3.4283 0.0000
I Mo Se
1 1 2
Direct
0.5000 0.5000 0.5000 I
0.0000 0.0000 0.0000 Mo
0.2500 0.2500 0.2500 Se
0.7500 0.7500 0.7500 Se
```

***

A plane-wave DFT calculation with PBE-GGA was carried out for a relaxed structure of Sr2Li2Ge.

Calculated values
For the distance to the lowest polymorph of the same formula, the calculation gives 0.122 eV/atom.

POSCAR file:
```
Sr2Li2Ge
1.0
-2.8733 1.1028 -6.6694
4.6449 -4.9431 -2.8185
-3.4012 -3.6842 0.8561
Sr Ge Li
4 2 4
Direct
0.1993 0.6993 0.5000 Sr
0.6993 0.8007 0.5000 Sr
0.8007 0.3007 0.5000 Sr
0.3007 0.1993 0.5000 Sr
0.0000 0.0000 0.0000 Ge
0.5000 0.5000 0.0000 Ge
0.3655 0.8655 0.0000 Li
0.8655 0.6345 0.0000 Li
0.6345 0.1345 0.0000 Li
0.1345 0.3655 0.0000 Li
```

***

A plane-wave DFT calculation with PBE-GGA was carried out for a relaxed structure of LaPm14Tl.

Calculated values
The value obtained for the uncorrected energy is -4.630 eV per atom.

POSCAR file:
```
LaPm14Tl
1.0
-5.9216 0.2459 4.1350
4.0900 -0.7919 5.9050
0.9303 10.2112 0.7250
La Pm Tl
1 14 1
Direct
0.8751 0.1249 0.0000 La
0.3750 0.6250 0.5000 Pm
0.8751 0.1249 0.5000 Pm
0.8747 0.6249 0.0000 Pm
0.8751 0.6249 0.5000 Pm
0.3751 0.1253 0.0000 Pm
0.3751 0.1249 0.5000 Pm
0.6228 0.8728 0.7528 Pm
0.6228 0.8728 0.2472 Pm
0.1272 0.3772 0.7528 Pm
0.1272 0.3772 0.2472 Pm
0.1271 0.8729 0.7529 Pm
0.1271 0.8729 0.2471 Pm
0.6229 0.3771 0.7528 Pm
0.6229 0.3771 0.2472 Pm
0.3749 0.6251 0.0000 Tl
```

***

A plane-wave DFT calculation with PBE-GGA was carried out for a relaxed structure of Ba3Li2Sb4.

Calculated values
The formation energy without anion corrections comes out at -0.85 eV/atom.

POSCAR file:
```
Ba3Li2Sb4
1.0
-2.1753 1.3178 4.2154
-6.8444 0.6312 -0.8543
-5.5871 -8.2321 2.5652
Ba Li Sb
3 2 4
Direct
0.3846 0.5497 0.6810 Ba
0.0000 0.0000 0.0000 Ba
0.6154 0.4503 0.3190 Ba
0.3004 0.0318 0.3674 Li
0.6996 0.9682 0.6326 Li
0.2819 0.3675 0.0687 Sb
0.7181 0.6325 0.9313 Sb
0.0997 0.1877 0.6129 Sb
0.9003 0.8123 0.3871 Sb
```

***

A plane-wave DFT calculation with PBE-GGA was carried out for a relaxed structure of Pm12Hg6Pd.

Calculated values
The value obtained for the uncorrected energy is -3.612 eV per atom.

POSCAR file:
```
Pm12Hg6Pd
1.0
-3.4929 5.4287 5.0298
4.0323 -3.2688 6.3266
6.2059 5.1784 -1.2812
Pm Hg Pd
12 6 1
Direct
0.8059 0.5350 0.4471 Pm
0.4471 0.8059 0.5350 Pm
0.5350 0.4471 0.8059 Pm
0.1941 0.4650 0.5529 Pm
0.5529 0.1941 0.4650 Pm
0.4650 0.5529 0.1941 Pm
0.0159 0.1292 0.3530 Pm
0.8708 0.6470 0.9841 Pm
0.6470 0.9841 0.8708 Pm
0.9841 0.8708 0.6470 Pm
0.1292 0.3530 0.0159 Pm
0.3530 0.0159 0.1292 Pm
0.7221 0.8830 0.2669 Hg
0.7331 0.2779 0.1170 Hg
0.1170 0.7331 0.2779 Hg
0.2779 0.1170 0.7331 Hg
0.2669 0.7221 0.8830 Hg
0.8830 0.2669 0.7221 Hg
0.0000 0.0000 0.0000 Pd
```

***

A plane-wave DFT calculation with PBE-GGA was carried out for a relaxed structure of LaAlBr2.

Calculated values
The formation energy without anion corrections comes out at -0.86 eV/atom. For the distance to the lowest polymorph of the same formula, the calculation gives 0.054 eV/atom.

POSCAR file:
```
LaAlBr2
1.0
3.8402 0.0499 0.0000
-0.4785 3.8106 0.0000
0.0000 0.0000 8.4775
Al Br La
1 2 1
Direct
0.5000 0.5000 0.7393 Al
0.0000 0.0000 0.9090 Br
0.5000 0.5000 0.3252 Br
0.0000 0.0000 0.5264 La
```

***

A plane-wave DFT calculation with PBE-GGA was carried out for a relaxed structure of SnPO4.

Calculated values
The formation energy without anion corrections comes out at -1.77 eV/atom.

POSCAR file:
```
SnPO4
1.0
9.0708 0.0000 0.0000
0.0000 5.2178 0.9650
0.0000 6.1887 8.8406
Sn P O
4 4 16
Direct
0.2680 0.5932 0.5625 Sn
0.2320 0.5932 0.0625 Sn
0.7680 0.4068 0.9375 Sn
0.7320 0.4068 0.4375 Sn
0.0556 0.8847 0.2212 P
0.9444 0.1153 0.7788 P
0.5556 0.1153 0.2788 P
0.4444 0.8847 0.7212 P
0.1239 0.2530 0.0533 O
0.1140 0.5786 0.2451 O
0.6140 0.4214 0.2549 O
0.9161 0.1834 0.6159 O
0.8860 0.4214 0.7549 O
0.8812 0.9112 0.1934 O
0.3860 0.5786 0.7451 O
0.4161 0.8166 0.8841 O
0.6239 0.7470 0.4467 O
0.3812 0.0888 0.3066 O
0.8761 0.7470 0.9467 O
0.3761 0.2530 0.5533 O
0.0839 0.8166 0.3841 O
0.6188 0.9112 0.6934 O
0.1188 0.0888 0.8066 O
0.5839 0.1834 0.1159 O
```

***

A plane-wave DFT calculation with PBE-GGA was carried out for a relaxed structure of KBa2Si2.

Calculated values
The formation energy without anion corrections comes out at 0.02 eV/atom. For the distance to the lowest polymorph of the same formula, the calculation gives 0.200 eV/atom.

POSCAR file:
```
KBa2Si2
1.0
9.9513 0.0000 0.0000
0.0000 9.9513 0.0000
0.0000 0.0000 3.5147
K Si Ba
2 4 4
Direct
0.0000 0.0000 0.0000 K
0.5000 0.5000 0.0000 K
0.1677 0.6677 0.5000 Si
0.6677 0.8323 0.5000 Si
0.8323 0.3323 0.5000 Si
0.3323 0.1677 0.5000 Si
0.3702 0.8702 0.0000 Ba
0.8702 0.6298 0.0000 Ba
0.6298 0.1298 0.0000 Ba
0.1298 0.3702 0.0000 Ba
```

***

A plane-wave DFT calculation with PBE-GGA was carried out for a relaxed structure of MnAsOs2.

Calculated values
The value obtained for the uncorrected energy is -8.500 eV per atom.

POSCAR file:
```
MnAsOs2
1.0
2.7708 -0.0019 0.0000
-1.3298 2.4308 0.0000
0.0000 0.0000 8.7604
As Mn Os
1 1 2
Direct
0.0000 0.0000 0.5065 As
0.5000 0.5000 0.7476 Mn
0.0000 0.0000 0.9939 Os
0.5000 0.5000 0.2519 Os
```

***

A plane-wave DFT calculation with PBE-GGA was carried out for a relaxed structure of Pr12DyTm5.

Calculated values
The value obtained for the uncorrected energy is -4.657 eV per atom.

POSCAR file:
```
Pr12DyTm5
1.0
15.3676 -0.0128 -0.0108
7.6772 7.7525 -0.0054
0.0034 0.0000 5.1744
Pr Dy Tm
12 1 5
Direct
0.8350 0.0002 0.5000 Pr
0.1650 0.9998 0.5000 Pr
0.6636 0.9998 0.0000 Pr
0.3364 0.0002 0.0000 Pr
0.3312 0.6664 0.0000 Pr
0.0022 0.6667 0.0000 Pr
0.9978 0.3333 0.0000 Pr
0.6688 0.3337 0.0000 Pr
0.4973 0.3333 0.5000 Pr
0.8307 0.6664 0.5000 Pr
0.1693 0.3336 0.5000 Pr
0.5027 0.6667 0.5000 Pr
0.0000 0.0000 0.0000 Dy
0.5000 0.0000 0.5000 Tm
0.1668 0.6665 0.5000 Tm
0.8332 0.3335 0.5000 Tm
0.6670 0.6660 0.0000 Tm
0.3330 0.3340 0.0000 Tm
```